No. 1
VASP calculation (GGA-PBE) on a relaxed structure of SrY2ZnAg.

The space group is No. 123. Its raw total energy is -12.64 eV for the cell shown.

Cell lengths 5.863, 5.255, 5.863 Å; angles 90.00, 90.00, 90.00 degrees
Fractional positions:
Y 0.500 0.000 0.000
Y 0.000 0.000 0.500
Ag 0.000 0.500 0.000
Sr 0.000 0.000 0.000
Zn 0.500 0.500 0.500

=====

No. 2
VASP calculation (GGA-PBE) on a relaxed structure of Tl2Cd2I.

The space group is No. 139. The value obtained for the uncorrected formation energy is -4 kJ/mol of formula units. Its energy above the lowest structure with this stoichiometry is 0.084 eV per atom.

Cell lengths 5.135, 5.135, 7.405 Å; angles 69.71, 69.71, 90.00 degrees
Fractional positions:
Tl 0.250 0.750 0.500
Tl 0.750 0.250 0.500
Cd 0.607 0.607 0.786
Cd 0.393 0.393 0.214
I 0.000 0.000 0.000

=====

No. 3
VASP calculation (GGA-PBE) on a relaxed structure of Tm2Zr2Tl3.

The space group is No. 65. Its raw total energy is -33.40 eV for the cell shown.

Cell lengths 4.587, 3.314, 11.785 Å; angles 90.00, 78.78, 90.00 degrees
Fractional positions:
Tl 0.154 0.000 0.692
Tl 0.846 0.000 0.308
Tl 0.000 0.000 0.000
Tm 0.426 0.500 0.147
Tm 0.574 0.500 0.853
Zr 0.291 0.500 0.417
Zr 0.709 0.500 0.583

=====

No. 4
VASP calculation (GGA-PBE) on a relaxed structure of NdSm4In2.

The space group is No. 64. Its energy above the lowest structure with this stoichiometry is 0.000 eV per atom.

Cell lengths 11.022, 6.957, 6.918 Å; angles 120.19, 90.00, 90.00 degrees
Fractional positions:
Sm 0.250 0.000 0.500
Sm 0.832 0.501 0.000
Sm 0.332 0.999 0.000
Sm 0.168 0.499 0.000
Sm 0.750 0.500 0.500
Sm 0.250 0.500 0.500
Sm 0.668 0.001 0.000
Sm 0.750 0.000 0.500
In 0.500 0.775 0.550
In 0.000 0.725 0.450
In 0.000 0.275 0.550
In 0.500 0.225 0.450
Nd 0.000 0.000 0.000
Nd 0.500 0.500 0.000

=====

No. 5
VASP calculation (GGA-PBE) on a relaxed structure of Ac7La3Pm2.

The space group is No. 10. Its raw total energy is -51.97 eV for the cell shown.

Cell lengths 3.810, 7.017, 19.307 Å; angles 75.00, 90.00, 90.00 degrees
Fractional positions:
Ac 0.500 0.054 0.174
Ac 0.500 0.243 0.504
Ac 0.500 0.757 0.496
Ac 0.500 0.946 0.826
Ac 0.000 0.000 0.000
Ac 0.000 0.555 0.170
Ac 0.000 0.445 0.830
La 0.000 0.883 0.658
La 0.000 0.117 0.342
La 0.500 0.500 0.000
Pm 0.500 0.614 0.332
Pm 0.500 0.386 0.668

=====

No. 6
VASP calculation (GGA-PBE) on a relaxed structure of CaZnPRu2.

The space group is No. 123. Its raw total energy is -21.80 eV for the cell shown.

Cell lengths 4.572, 4.990, 4.572 Å; angles 90.00, 90.00, 90.00 degrees
Last column: magnetic moment on the atom in μB.
Fractional positions:
Ca 0.000 0.500 0.000  -0.02
Zn 0.000 0.000 0.000  -0.01
Ru 0.000 0.000 0.500  0.92
Ru 0.500 0.000 0.000  0.70
P 0.500 0.500 0.500  -0.03

=====

No. 7
VASP calculation (GGA-PBE) on a relaxed structure of HoPuTe2N.

The space group is No. 129. The value obtained for the uncorrected formation energy is -587 kJ/mol of formula units.

Cell lengths 4.063, 4.063, 15.852 Å; angles 90.00, 90.00, 90.00 degrees
Last column: magnetic moment on the atom in μB.
Fractional positions:
Pu 0.500 0.000 0.566  4.36
Pu 0.000 0.500 0.434  4.36
Te 0.000 0.500 0.082  0.00
Te 0.500 0.000 0.918  0.00
Te 0.000 0.500 0.681  -0.14
Te 0.500 0.000 0.319  -0.14
N 0.500 0.500 0.500  -0.29
N 0.000 0.000 0.500  -0.29
Ho 0.000 0.500 0.863  -0.02
Ho 0.500 0.000 0.137  -0.02

=====

No. 8
VASP calculation (GGA-PBE) on a relaxed structure of NaTlInGe.

The space group is No. 216. Its raw total energy is -10.95 eV for the cell shown.

Cell lengths 5.239, 5.239, 5.239 Å; angles 60.00, 60.00, 60.00 degrees
Fractional positions:
In 0.250 0.250 0.250
Na 0.750 0.750 0.750
Tl 0.500 0.500 0.500
Ge 0.000 0.000 0.000

=====

No. 9
VASP calculation (GGA-PBE) on a relaxed structure of Li6ZnPd6.

The space group is No. 191. Its raw total energy is -47.71 eV for the cell shown.

Cell lengths 4.891, 4.891, 8.604 Å; angles 90.00, 90.00, 120.03 degrees
Fractional positions:
Pd 0.000 0.000 0.652
Pd 0.667 0.333 0.000
Pd 0.333 0.667 0.500
Pd 0.000 0.000 0.348
Pd 0.667 0.333 0.500
Pd 0.333 0.667 0.000
Li 0.500 0.000 0.753
Li 0.000 0.500 0.753
Li 0.000 0.500 0.247
Li 0.500 0.500 0.753
Li 0.500 0.000 0.247
Li 0.500 0.500 0.247
Zn 0.000 0.000 0.000

=====

Number 1: ρ 4.03 g cm⁻³. Number 2: ρ 7.42 g cm⁻³. Number 3: ρ 10.71 g cm⁻³. Number 4: ρ 7.06 g cm⁻³. Number 5: ρ 7.65 g cm⁻³. Number 6: ρ 5.39 g cm⁻³. Number 7: ρ 8.61 g cm⁻³. Number 8: ρ 6.77 g cm⁻³. Number 9: ρ 6.95 g cm⁻³.